Entry 1:
# PBE-GGA NaBeTe2, relaxed
# **Raw formation energy**: -0.49 eV per formula unit
data_NaBeTe2
_cell_length_a 9.151
_cell_length_b 9.151
_cell_length_c 9.151
_cell_angle_alpha 23.73
_cell_angle_beta 23.73
_cell_angle_gamma 23.73
_space_group_name_H-M_alt 'P 1'
_space_group_IT_number 1
loop_
_space_group_symop_operation_xyz
'x,y,z'
loop_
_atom_site_label
_atom_site_type_symbol
_atom_site_fract_x
_atom_site_fract_y
_atom_site_fract_z
Be1 Be 0.500 0.500 0.500
Na1 Na 0.000 0.000 0.000
Te1 Te 0.889 0.889 0.889
Te2 Te 0.111 0.111 0.111


Entry 2:
# PBE-GGA Pm2Pd9Au, relaxed
# **Calculated formation energy**: -0.5245 eV/atom
data_Pm2Pd9Au
_cell_length_a 4.128
_cell_length_b 4.128
_cell_length_c 12.386
_cell_angle_alpha 90.00
_cell_angle_beta 90.00
_cell_angle_gamma 90.00
_space_group_name_H-M_alt 'P 1'
_space_group_IT_number 1
loop_
_space_group_symop_operation_xyz
'x,y,z'
loop_
_atom_site_label
_atom_site_type_symbol
_atom_site_fract_x
_atom_site_fract_y
_atom_site_fract_z
Pd1 Pd 0.500 0.000 0.842
Pd2 Pd 0.500 0.500 0.670
Pd3 Pd 0.500 0.000 0.500
Pd4 Pd 0.000 0.500 0.842
Pd5 Pd 0.000 0.500 0.500
Pd6 Pd 0.500 0.500 0.000
Pd7 Pd 0.500 0.000 0.158
Pd8 Pd 0.500 0.500 0.330
Pd9 Pd 0.000 0.500 0.158
Pm1 Pm 0.000 0.000 0.673
Pm2 Pm 0.000 0.000 0.327
Au1 Au 0.000 0.000 0.000


Entry 3:
# PBE-GGA ZrInSe, relaxed
# **Raw formation energy**: -1.35 eV per formula unit
# **Polymorph energy (0 for the lowest one)**: 273 meV/atom
data_ZrInSe
_cell_length_a 4.624
_cell_length_b 4.624
_cell_length_c 3.797
_cell_angle_alpha 90.00
_cell_angle_beta 90.00
_cell_angle_gamma 120.00
_space_group_name_H-M_alt 'P 1'
_space_group_IT_number 1
loop_
_space_group_symop_operation_xyz
'x,y,z'
loop_
_atom_site_label
_atom_site_type_symbol
_atom_site_fract_x
_atom_site_fract_y
_atom_site_fract_z
Zr1 Zr 0.333 0.667 0.500
In1 In 0.000 0.000 0.000
Se1 Se 0.667 0.333 0.500


Entry 4:
# PBE-GGA Ni2Sn2Rh, relaxed
# **Calculated formation energy**: -0.0629 eV/atom
# **Polymorph energy (0 for the lowest one)**: 76 meV/atom
data_Ni2Sn2Rh
_cell_length_a 3.355
_cell_length_b 3.355
_cell_length_c 7.728
_cell_angle_alpha 77.46
_cell_angle_beta 77.46
_cell_angle_gamma 90.00
_space_group_name_H-M_alt 'P 1'
_space_group_IT_number 1
loop_
_space_group_symop_operation_xyz
'x,y,z'
loop_
_atom_site_label
_atom_site_type_symbol
_atom_site_fract_x
_atom_site_fract_y
_atom_site_fract_z
Ni1 Ni 0.750 0.250 0.500
Ni2 Ni 0.250 0.750 0.500
Rh1 Rh 0.000 0.000 0.000
Sn1 Sn 0.610 0.610 0.780
Sn2 Sn 0.390 0.390 0.220


Entry 5:
# PBE-GGA KP2Se, relaxed
# **Raw formation energy**: 0.57 eV per formula unit
data_KP2Se
_cell_length_a 3.904
_cell_length_b 3.904
_cell_length_c 6.410
_cell_angle_alpha 90.00
_cell_angle_beta 90.00
_cell_angle_gamma 90.00
_space_group_name_H-M_alt 'P 1'
_space_group_IT_number 1
loop_
_space_group_symop_operation_xyz
'x,y,z'
loop_
_atom_site_label
_atom_site_type_symbol
_atom_site_fract_x
_atom_site_fract_y
_atom_site_fract_z
P1 P 0.000 0.000 0.411
P2 P 0.000 0.000 0.089
Se1 Se 0.500 0.500 0.250
K1 K 0.500 0.500 0.750


Entry 6:
# PBE-GGA Hf4In5H, relaxed
# **Raw total energy**: -5.726 eV/atom
data_Hf4In5H
_cell_length_a 3.157
_cell_length_b 8.370
_cell_length_c 8.192
_cell_angle_alpha 94.62
_cell_angle_beta 101.11
_cell_angle_gamma 90.00
_space_group_name_H-M_alt 'P 1'
_space_group_IT_number 1
loop_
_space_group_symop_operation_xyz
'x,y,z'
loop_
_atom_site_label
_atom_site_type_symbol
_atom_site_fract_x
_atom_site_fract_y
_atom_site_fract_z
In1 In 0.827 0.617 0.653
In2 In 0.500 0.500 0.000
In3 In 0.173 0.383 0.347
In4 In 0.828 0.260 0.656
In5 In 0.172 0.740 0.344
Hf1 Hf 0.009 0.178 0.018
Hf2 Hf 0.656 0.054 0.312
Hf3 Hf 0.991 0.822 0.982
Hf4 Hf 0.344 0.946 0.688
H1 H 0.500 0.000 0.000


Entry 7:
# PBE-GGA TmMg14Ag, relaxed
# **Calculated formation energy**: -0.0169 eV/atom
data_TmMg14Ag
_cell_length_a 7.363
_cell_length_b 7.363
_cell_length_c 6.727
_cell_angle_alpha 90.00
_cell_angle_beta 90.00
_cell_angle_gamma 90.00
_space_group_name_H-M_alt 'P 1'
_space_group_IT_number 1
loop_
_space_group_symop_operation_xyz
'x,y,z'
loop_
_atom_site_label
_atom_site_type_symbol
_atom_site_fract_x
_atom_site_fract_y
_atom_site_fract_z
Mg1 Mg 0.875 0.375 0.000
Mg2 Mg 0.612 0.138 0.745
Mg3 Mg 0.875 0.375 0.500
Mg4 Mg 0.138 0.138 0.745
Mg5 Mg 0.138 0.612 0.255
Mg6 Mg 0.612 0.612 0.255
Mg7 Mg 0.138 0.612 0.745
Mg8 Mg 0.375 0.375 0.000
Mg9 Mg 0.375 0.875 0.500
Mg10 Mg 0.612 0.138 0.255
Mg11 Mg 0.375 0.875 0.000
Mg12 Mg 0.612 0.612 0.745
Mg13 Mg 0.138 0.138 0.255
Mg14 Mg 0.875 0.875 0.000
Ag1 Ag 0.375 0.375 0.500
Tm1 Tm 0.875 0.875 0.500


Entry 8:
# PBE-GGA HfZr2Te6, relaxed
# **Raw formation energy**: -7.73 eV per formula unit
# **Polymorph energy (0 for the lowest one)**: 0 meV/atom
data_HfZr2Te6
_cell_length_a 3.959
_cell_length_b 8.699
_cell_length_c 9.581
_cell_angle_alpha 109.86
_cell_angle_beta 101.92
_cell_angle_gamma 90.00
_space_group_name_H-M_alt 'P 1'
_space_group_IT_number 1
loop_
_space_group_symop_operation_xyz
'x,y,z'
loop_
_atom_site_label
_atom_site_type_symbol
_atom_site_fract_x
_atom_site_fract_y
_atom_site_fract_z
Te1 Te 0.332 0.418 0.663
Te2 Te 0.999 0.756 0.997
Te3 Te 0.001 0.244 0.003
Te4 Te 0.668 0.582 0.337
Te5 Te 0.664 0.085 0.327
Te6 Te 0.336 0.915 0.673
Zr1 Zr 0.167 0.334 0.334
Zr2 Zr 0.833 0.666 0.666
Hf1 Hf 0.500 0.000 0.000


Entry 9:
# PBE-GGA VInOs3, relaxed
# **Calculated formation energy**: 1.4807 eV/atom
# **Polymorph energy (0 for the lowest one)**: 0 meV/atom
data_VInOs3
_cell_length_a 4.521
_cell_length_b 4.521
_cell_length_c 4.521
_cell_angle_alpha 90.00
_cell_angle_beta 90.00
_cell_angle_gamma 90.00
_space_group_name_H-M_alt 'P 1'
_space_group_IT_number 1
loop_
_space_group_symop_operation_xyz
'x,y,z'
loop_
_atom_site_label
_atom_site_type_symbol
_atom_site_fract_x
_atom_site_fract_y
_atom_site_fract_z
Os1 Os 0.000 0.500 0.000
Os2 Os 0.000 0.000 0.500
Os3 Os 0.500 0.000 0.000
In1 In 0.500 0.500 0.500
V1 V 0.000 0.000 0.000


Entry 10:
# PBE-GGA Be2InPt, relaxed
# **Calculated formation energy**: -0.1248 eV/atom
data_Be2InPt
_cell_length_a 4.412
_cell_length_b 4.412
_cell_length_c 4.461
_cell_angle_alpha 74.31
_cell_angle_beta 74.31
_cell_angle_gamma 44.40
_space_group_name_H-M_alt 'P 1'
_space_group_IT_number 1
loop_
_space_group_symop_operation_xyz
'x,y,z'
loop_
_atom_site_label
_atom_site_type_symbol
_atom_site_fract_x
_atom_site_fract_y
_atom_site_fract_z
Be1 Be 0.716 0.716 0.839
Be2 Be 0.001 0.001 0.027
In1 In 0.505 0.505 0.504
Pt1 Pt 0.279 0.279 0.130


Entry 11:
# PBE-GGA Ni4Os3, relaxed
# **Calculated formation energy**: 0.5029 eV/atom
data_Ni4Os3
_cell_length_a 5.001
_cell_length_b 5.001
_cell_length_c 4.438
_cell_angle_alpha 90.00
_cell_angle_beta 90.00
_cell_angle_gamma 120.00
_space_group_name_H-M_alt 'P 1'
_space_group_IT_number 1
loop_
_space_group_symop_operation_xyz
'x,y,z'
loop_
_atom_site_label
_atom_site_type_symbol
_atom_site_fract_x
_atom_site_fract_y
_atom_site_fract_z
Ni1 Ni 0.333 0.667 0.500
Ni2 Ni 0.000 0.000 0.249
Ni3 Ni 0.667 0.333 0.500
Ni4 Ni 0.000 0.000 0.751
Os1 Os 0.500 0.500 0.000
Os2 Os 0.000 0.500 0.000
Os3 Os 0.500 0.000 0.000


Entry 12:
# PBE-GGA Tb6PmY2Sc, relaxed
# **Calculated formation energy**: 0.1288 eV/atom
data_Tb6PmY2Sc
_cell_length_a 8.792
_cell_length_b 9.061
_cell_length_c 9.061
_cell_angle_alpha 117.77
_cell_angle_beta 90.91
_cell_angle_gamma 90.91
_space_group_name_H-M_alt 'P 1'
_space_group_IT_number 1
loop_
_space_group_symop_operation_xyz
'x,y,z'
loop_
_atom_site_label
_atom_site_type_symbol
_atom_site_fract_x
_atom_site_fract_y
_atom_site_fract_z
Tb1 Tb 0.297 0.038 0.459
Tb2 Tb 0.906 0.270 0.529
Tb3 Tb 0.554 0.787 0.126
Tb4 Tb 0.406 0.529 0.270
Tb5 Tb 0.946 0.874 0.213
Tb6 Tb 0.203 0.541 0.962
Tb7 Tb 0.797 0.459 0.038
Tb8 Tb 0.054 0.126 0.787
Tb9 Tb 0.703 0.962 0.541
Tb10 Tb 0.446 0.213 0.874
Tb11 Tb 0.094 0.730 0.471
Tb12 Tb 0.594 0.471 0.730
Y1 Y 0.558 0.211 0.319
Y2 Y 0.058 0.319 0.211
Y3 Y 0.442 0.789 0.681
Y4 Y 0.942 0.681 0.789
Sc1 Sc 0.750 0.563 0.437
Sc2 Sc 0.250 0.437 0.563
Pm1 Pm 0.750 0.036 0.964
Pm2 Pm 0.250 0.964 0.036


Entry 13:
# PBE-GGA Cs2TeRuRh, relaxed
# **Raw formation energy**: 5.04 eV per formula unit
data_Cs2TeRuRh
_cell_length_a 7.311
_cell_length_b 4.944
_cell_length_c 7.311
_cell_angle_alpha 90.00
_cell_angle_beta 90.00
_cell_angle_gamma 90.00
_space_group_name_H-M_alt 'P 1'
_space_group_IT_number 1
loop_
_space_group_symop_operation_xyz
'x,y,z'
loop_
_atom_site_label
_atom_site_type_symbol
_atom_site_fract_x
_atom_site_fract_y
_atom_site_fract_z
Rh1 Rh 0.500 0.500 0.500
Cs1 Cs 0.500 0.000 0.000
Cs2 Cs 0.000 0.000 0.500
Ru1 Ru 0.000 0.500 0.000
Te1 Te 0.000 0.000 0.000


Entry 14:
# PBE-GGA KLiPu2I8, relaxed
# **Raw formation energy**: -13.41 eV per formula unit
data_KLiPu2I8
_cell_length_a 7.792
_cell_length_b 7.461
_cell_length_c 9.413
_cell_angle_alpha 89.98
_cell_angle_beta 89.99
_cell_angle_gamma 83.53
_space_group_name_H-M_alt 'P 1'
_space_group_IT_number 1
loop_
_space_group_symop_operation_xyz
'x,y,z'
loop_
_atom_site_label
_atom_site_type_symbol
_atom_site_fract_x
_atom_site_fract_y
_atom_site_fract_z
Pu1 Pu 0.500 0.500 0.243
Pu2 Pu 0.500 0.500 0.757
I1 I 0.838 0.247 0.780
I2 I 0.359 0.273 0.000
I3 I 0.162 0.753 0.220
I4 I 0.838 0.247 0.220
I5 I 0.641 0.727 0.000
I6 I 0.162 0.753 0.780
I7 I 0.367 0.281 0.500
I8 I 0.633 0.719 0.500
K1 K 0.000 0.000 0.500
Li1 Li 0.000 0.000 0.000


Entry 15:
# PBE-GGA Zr2FeHg2, relaxed
# **Calculated formation energy**: 0.8076 eV/atom
# **Polymorph energy (0 for the lowest one)**: 618 meV/atom
data_Zr2FeHg2
_cell_length_a 3.958
_cell_length_b 3.958
_cell_length_c 7.601
_cell_angle_alpha 74.91
_cell_angle_beta 74.91
_cell_angle_gamma 90.00
_space_group_name_H-M_alt 'P 1'
_space_group_IT_number 1
loop_
_space_group_symop_operation_xyz
'x,y,z'
loop_
_atom_site_label
_atom_site_type_symbol
_atom_site_fract_x
_atom_site_fract_y
_atom_site_fract_z
Hg1 Hg 0.593 0.593 0.814
Hg2 Hg 0.407 0.407 0.186
Fe1 Fe 0.000 0.000 0.000
Zr1 Zr 0.750 0.250 0.500
Zr2 Zr 0.250 0.750 0.500


Entry 16:
# PBE-GGA Na3AlTl, relaxed
# **Calculated formation energy**: 0.4733 eV/atom
# **Polymorph energy (0 for the lowest one)**: 116 meV/atom
data_Na3AlTl
_cell_length_a 5.804
_cell_length_b 5.804
_cell_length_c 5.804
_cell_angle_alpha 90.00
_cell_angle_beta 90.00
_cell_angle_gamma 90.00
_space_group_name_H-M_alt 'P 1'
_space_group_IT_number 1
loop_
_space_group_symop_operation_xyz
'x,y,z'
loop_
_atom_site_label
_atom_site_type_symbol
_atom_site_fract_x
_atom_site_fract_y
_atom_site_fract_z
Al1 Al 0.500 0.500 0.500
Na1 Na 0.000 0.000 0.500
Na2 Na 0.000 0.500 0.000
Na3 Na 0.500 0.000 0.000
Tl1 Tl 0.000 0.000 0.000


Entry 17:
# PBE-GGA NbB3O, relaxed
# **Raw formation energy**: 11.05 eV per formula unit
# **Polymorph energy (0 for the lowest one)**: 1337 meV/atom
data_NbB3O
_cell_length_a 4.349
_cell_length_b 4.349
_cell_length_c 4.349
_cell_angle_alpha 90.00
_cell_angle_beta 90.00
_cell_angle_gamma 90.00
_space_group_name_H-M_alt 'P 1'
_space_group_IT_number 1
loop_
_space_group_symop_operation_xyz
'x,y,z'
loop_
_atom_site_label
_atom_site_type_symbol
_atom_site_fract_x
_atom_site_fract_y
_atom_site_fract_z
Nb1 Nb 0.000 0.000 0.000
B1 B 0.000 0.000 0.500
B2 B 0.000 0.500 0.000
B3 B 0.500 0.000 0.000
O1 O 0.500 0.500 0.500


Entry 18:
# PBE-GGA TlSb2TeF, relaxed
# **Raw formation energy**: -0.88 eV per formula unit
# **Polymorph energy (0 for the lowest one)**: 0 meV/atom
data_TlSb2TeF
_cell_length_a 4.890
_cell_length_b 4.890
_cell_length_c 5.618
_cell_angle_alpha 90.00
_cell_angle_beta 90.00
_cell_angle_gamma 90.00
_space_group_name_H-M_alt 'P 1'
_space_group_IT_number 1
loop_
_space_group_symop_operation_xyz
'x,y,z'
loop_
_atom_site_label
_atom_site_type_symbol
_atom_site_fract_x
_atom_site_fract_y
_atom_site_fract_z
Sb1 Sb 0.000 0.500 0.000
Sb2 Sb 0.500 0.000 0.000
Te1 Te 0.000 0.000 0.500
Tl1 Tl 0.500 0.500 0.500
F1 F 0.000 0.000 0.000


Entry 19:
# PBE-GGA Pr2Dy3Tm, relaxed
# **Calculated formation energy**: 0.1450 eV/atom
# **Polymorph energy (0 for the lowest one)**: 47 meV/atom
data_Pr2Dy3Tm
_cell_length_a 5.119
_cell_length_b 10.095
_cell_length_c 12.888
_cell_angle_alpha 39.66
_cell_angle_beta 78.55
_cell_angle_gamma 75.31
_space_group_name_H-M_alt 'P 1'
_space_group_IT_number 1
loop_
_space_group_symop_operation_xyz
'x,y,z'
loop_
_atom_site_label
_atom_site_type_symbol
_atom_site_fract_x
_atom_site_fract_y
_atom_site_fract_z
Dy1 Dy 0.308 0.331 0.053
Dy2 Dy 0.766 0.117 0.351
Dy3 Dy 0.692 0.669 0.947
Dy4 Dy 0.234 0.883 0.649
Dy5 Dy 0.073 0.982 0.872
Dy6 Dy 0.927 0.018 0.128
Pr1 Pr 0.398 0.771 0.433
Pr2 Pr 0.602 0.229 0.567
Pr3 Pr 0.147 0.443 0.264
Pr4 Pr 0.853 0.557 0.736
Tm1 Tm 0.456 0.244 0.844
Tm2 Tm 0.544 0.756 0.156


Entry 20:
# PBE-GGA K2YNi, relaxed
# **Calculated formation energy**: 0.3950 eV/atom
# **Polymorph energy (0 for the lowest one)**: 233 meV/atom
data_K2YNi
_cell_length_a 7.543
_cell_length_b 7.543
_cell_length_c 7.543
_cell_angle_alpha 151.19
_cell_angle_beta 128.69
_cell_angle_gamma 59.91
_space_group_name_H-M_alt 'P 1'
_space_group_IT_number 1
loop_
_space_group_symop_operation_xyz
'x,y,z'
loop_
_atom_site_label
_atom_site_type_symbol
_atom_site_fract_x
_atom_site_fract_y
_atom_site_fract_z
K1 K 0.010 0.010 0.000
K2 K 0.683 0.183 0.500
Ni1 Ni 0.469 0.469 0.000
Y1 Y 0.337 0.837 0.500